Arrangement 1

Below is an optimized crystal structure of TlCd7Hg4, with properties calculated at the PBE level.

Summary:
Total moment   0.00 μB/f.u.

CIF file:
```
data_TlCd7Hg4
_symmetry_space_group_name_H-M 'P 1'
_symmetry_Int_Tables_number 1
_cell_length_a 5.0123
_cell_length_b 5.0123
_cell_length_c 13.8349
_cell_angle_alpha 90.00
_cell_angle_beta 90.00
_cell_angle_gamma 120.00
loop_
_symmetry_equiv_pos_as_xyz
'x,y,z'
loop_
_atom_site_label
_atom_site_fract_x
_atom_site_fract_y
_atom_site_fract_z
Tl1 0.0000 0.0000 0.0000
Cd1 0.0000 0.0000 0.2631
Cd2 0.0000 0.0000 0.5000
Cd3 0.0000 0.0000 0.7369
Cd4 0.3333 0.6667 0.6598
Cd5 0.3333 0.6667 0.8912
Cd6 0.6667 0.3333 0.1088
Cd7 0.6667 0.3333 0.3402
Hg1 0.3333 0.6667 0.1629
Hg2 0.3333 0.6667 0.4170
Hg3 0.6667 0.3333 0.5830
Hg4 0.6667 0.3333 0.8371
```

---

Arrangement 2

Below is an optimized crystal structure of TlCd7Hg4, with properties calculated at the PBE level.

Summary:
Total moment   0.00 μB/f.u.

CIF file:
```
data_TlCd7Hg4
_symmetry_space_group_name_H-M 'P 1'
_symmetry_Int_Tables_number 1
_cell_length_a 6.7646
_cell_length_b 6.7646
_cell_length_c 10.5419
_cell_angle_alpha 118.99
_cell_angle_beta 118.99
_cell_angle_gamma 50.53
loop_
_symmetry_equiv_pos_as_xyz
'x,y,z'
loop_
_atom_site_label
_atom_site_fract_x
_atom_site_fract_y
_atom_site_fract_z
Tl1 0.0000 0.0000 0.0000
Cd1 0.0930 0.0930 0.4381
Cd2 0.2871 0.2871 0.3508
Cd3 0.3057 0.3057 0.0915
Cd4 0.5000 0.5000 0.0000
Cd5 0.6943 0.6943 0.9085
Cd6 0.7129 0.7129 0.6492
Cd7 0.9070 0.9070 0.5619
Hg1 0.1903 0.1903 0.7692
Hg2 0.4093 0.4093 0.6749
Hg3 0.5907 0.5907 0.3251
Hg4 0.8097 0.8097 0.2308
```

---

The most stable arrangement is arrangement 1, and the next structure is 11 meV/atom less stable.

---

Arrangement 1

Below is an optimized crystal structure of Tl5CdHg4, with properties calculated at the PBE level.

Summary:
Total moment   0.00 μB/f.u.

CIF file:
```
data_Tl5CdHg4
_symmetry_space_group_name_H-M 'P 1'
_symmetry_Int_Tables_number 1
_cell_length_a 3.9442
_cell_length_b 3.9442
_cell_length_c 18.4112
_cell_angle_alpha 90.00
_cell_angle_beta 90.00
_cell_angle_gamma 90.00
loop_
_symmetry_equiv_pos_as_xyz
'x,y,z'
loop_
_atom_site_label
_atom_site_fract_x
_atom_site_fract_y
_atom_site_fract_z
Tl1 0.0000 0.0000 0.0000
Tl2 0.0000 0.0000 0.2037
Tl3 0.0000 0.0000 0.4023
Tl4 0.0000 0.0000 0.5977
Tl5 0.0000 0.0000 0.7963
Cd1 0.5000 0.5000 0.5000
Hg1 0.5000 0.5000 0.1015
Hg2 0.5000 0.5000 0.3035
Hg3 0.5000 0.5000 0.6965
Hg4 0.5000 0.5000 0.8985
```

---

Arrangement 2

Below is an optimized crystal structure of Tl5CdHg4, with properties calculated at the PBE level.

Summary:
Total moment   0.00 μB/f.u.

CIF file:
```
data_Tl5CdHg4
_symmetry_space_group_name_H-M 'P 1'
_symmetry_Int_Tables_number 1
_cell_length_a 8.6583
_cell_length_b 8.6583
_cell_length_c 9.7393
_cell_angle_alpha 101.29
_cell_angle_beta 101.29
_cell_angle_gamma 24.20
loop_
_symmetry_equiv_pos_as_xyz
'x,y,z'
loop_
_atom_site_label
_atom_site_fract_x
_atom_site_fract_y
_atom_site_fract_z
Tl1 0.0000 0.0000 0.0000
Tl2 0.3117 0.3117 0.9063
Tl3 0.3536 0.3536 0.2840
Tl4 0.6464 0.6464 0.7160
Tl5 0.6883 0.6883 0.0937
Cd1 0.0000 0.0000 0.5000
Hg1 0.1829 0.1829 0.4193
Hg2 0.4587 0.4587 0.7274
Hg3 0.5413 0.5413 0.2726
Hg4 0.8171 0.8171 0.5807
```

---

The most stable arrangement is arrangement 1, and the next structure is 24 meV/atom less stable.